1.
! VZnNi PBE relaxed; values from VASP
&SYSTEM
  ibrav = 0, nat = 12, ntyp = 3
/
ATOMIC_SPECIES
V 50.94 V.upf
Ni 58.69 Ni.upf
Zn 65.41 Zn.upf
CELL_PARAMETERS angstrom
3.876 0.000 0.000
0.000 10.270 0.000
0.000 0.000 3.827
ATOMIC_POSITIONS angstrom
V 0.000 0.738 0.957
V 1.938 5.873 0.957
Ni 1.938 0.830 2.871
Zn 0.000 2.546 2.871
V 0.000 9.531 2.871
Ni 0.000 4.305 0.957
Zn 1.938 2.589 0.957
V 1.938 4.397 2.871
Zn 1.938 7.681 2.871
Zn 0.000 7.723 0.957
Ni 0.000 5.965 2.871
Ni 1.938 9.440 0.957
! DOS at the Fermi energy = 10.220 states/eV/cell
! Density = 7.63 g/cm3
! SG = Cmcm (63)
! Energy of formation from the pure elements = -0.088 eV/atom

2.
! Hf8In6Sn PBE relaxed; values from VASP
&SYSTEM
  ibrav = 0, nat = 15, ntyp = 3
/
ATOMIC_SPECIES
Hf 178.49 Hf.upf
In 114.82 In.upf
Sn 118.71 Sn.upf
CELL_PARAMETERS angstrom
8.418 0.000 0.000
4.209 7.290 0.000
4.209 2.430 5.726
ATOMIC_POSITIONS angstrom
Hf 10.569 2.334 3.766
In 9.616 3.281 1.076
Hf 7.306 1.734 1.960
Hf 11.681 5.460 1.960
Hf 9.530 7.986 3.766
In 10.384 5.108 4.650
In 9.186 6.687 1.076
Hf 5.154 4.260 3.766
Hf 4.209 2.430 1.428
In 7.650 3.033 4.650
Hf 6.267 7.386 1.960
In 7.220 6.439 4.650
Sn 0.000 0.000 0.000
Hf 12.627 7.290 4.297
In 6.451 4.612 1.076
! DOS at the Fermi energy = 10.404 states/eV/cell
! Density = 10.57 g/cm3
! SG = R-3 (148)
! Energy of formation from the pure elements = -0.073 eV/atom

3.
! LaScTlC2 PBE relaxed; values from VASP
&SYSTEM
  ibrav = 0, nat = 5, ntyp = 4
/
ATOMIC_SPECIES
C 12.01 C.upf
Tl 204.38 Tl.upf
Sc 44.96 Sc.upf
La 138.91 La.upf
CELL_PARAMETERS angstrom
4.643 0.000 0.000
0.000 5.220 0.000
0.000 0.000 4.643
ATOMIC_POSITIONS angstrom
C 0.000 0.000 2.321
Tl 0.000 0.000 0.000
Sc 0.000 2.610 0.000
La 2.321 2.610 2.321
C 2.321 0.000 0.000
! DOS at the Fermi energy = 6.087 states/eV/cell
! Density = 6.08 g/cm3
! SG = P4/mmm (123)
! Energy of formation from the pure elements = 2.080 eV/atom

4.
! CdSiC3 PBE relaxed; values from VASP
&SYSTEM
  ibrav = 0, nat = 5, ntyp = 3
/
ATOMIC_SPECIES
Si 28.09 Si.upf
C 12.01 C.upf
Cd 112.41 Cd.upf
CELL_PARAMETERS angstrom
4.282 0.000 0.000
0.000 4.282 0.000
0.000 0.000 4.282
ATOMIC_POSITIONS angstrom
Si 2.141 2.141 2.141
C 2.141 0.000 0.000
Cd 0.000 0.000 0.000
C 0.000 0.000 2.141
C 0.000 2.141 0.000
! DOS at the Fermi energy = 6.102 states/eV/cell
! Energy relative to the elements, uncorrected = 3528 meV/atom
! Density = 3.73 g/cm3
! SG = Pm-3m (221)
! Energy above the most stable polymorph in this dataset = 1576 meV/atom

5.
! PmPrDy2Sc PBE relaxed; values from VASP
&SYSTEM
  ibrav = 0, nat = 10, ntyp = 4
/
ATOMIC_SPECIES
Sc 44.96 Sc.upf
Pr 140.91 Pr.upf
Pm 145.00 Pm.upf
Dy 162.50 Dy.upf
CELL_PARAMETERS angstrom
-0.618 -2.198 4.486
-0.629 -7.033 -3.532
7.834 -1.027 0.576
ATOMIC_POSITIONS angstrom
Sc 2.000 -5.187 1.970
Pr 1.406 -6.049 -1.358
Pm 5.888 -8.062 -1.727
Sc 4.588 -5.070 -0.441
Pr 5.182 -4.209 2.887
Pm 0.700 -2.195 3.256
Dy 3.251 -2.139 0.812
Dy 6.596 -7.173 1.629
Dy -0.008 -3.084 -0.100
Dy 3.337 -8.119 0.717
! DOS at the Fermi energy = 16.857 states/eV/cell
! Density = 6.92 g/cm3
! SG = P2_1/m (11)
! Energy of formation from the pure elements = 0.046 eV/atom

6.
! La2BeZnN PBE relaxed; values from VASP
&SYSTEM
  ibrav = 0, nat = 5, ntyp = 4
/
ATOMIC_SPECIES
Zn 65.41 Zn.upf
Be 9.01 Be.upf
La 138.91 La.upf
N 14.01 N.upf
CELL_PARAMETERS angstrom
-3.995 -2.707 -1.669
0.871 -2.935 2.676
-2.986 2.271 3.464
ATOMIC_POSITIONS angstrom
Zn 0.436 -1.468 1.338
Be -3.055 -1.685 2.236
La -1.998 -1.354 -0.834
La -1.493 1.136 1.732
N 0.000 0.000 0.000
! DOS at the Fermi energy = 3.995 states/eV/cell
! Energy relative to the elements, uncorrected = -251 meV/atom
! Density = 5.74 g/cm3
! SG = P4/mmm (123)
! Energy above the most stable polymorph in this dataset = 313 meV/atom

7.
! OsPt2RhW PBE relaxed; values from VASP
&SYSTEM
  ibrav = 0, nat = 5, ntyp = 4
/
ATOMIC_SPECIES
Pt 195.08 Pt.upf
W 183.84 W.upf
Os 190.23 Os.upf
Rh 102.91 Rh.upf
CELL_PARAMETERS angstrom
4.789 0.000 0.000
0.000 4.643 0.000
0.000 0.000 4.789
ATOMIC_POSITIONS angstrom
Pt 2.395 0.000 0.000
W 0.000 2.321 0.000
Os 0.000 0.000 0.000
Rh 2.395 2.321 2.395
Pt 0.000 0.000 2.395
! DOS at the Fermi energy = 7.391 states/eV/cell
! Density = 13.52 g/cm3
! SG = P4/mmm (123)
! Energy of formation from the pure elements = 1.790 eV/atom

8.
! Pr8NiOs3Cl4 PBE relaxed; values from VASP
&SYSTEM
  ibrav = 0, nat = 16, ntyp = 4
/
ATOMIC_SPECIES
Pr 140.91 Pr.upf
Cl 35.45 Cl.upf
Os 190.23 Os.upf
Ni 58.69 Ni.upf
CELL_PARAMETERS angstrom
8.192 0.000 0.000
0.000 8.995 0.556
-4.096 -4.092 5.794
ATOMIC_POSITIONS angstrom
Pr 4.096 0.501 3.208
Pr 4.096 4.451 3.141
Pr 0.000 4.402 3.142
Cl 0.000 0.000 0.000
Cl 4.096 0.000 0.000
Os -2.048 2.451 3.175
Pr 0.000 0.452 3.210
Pr 2.023 2.381 6.003
Ni 0.000 4.498 0.278
Pr 2.073 2.522 0.347
Os 4.096 4.498 0.278
Cl -2.048 -2.046 2.897
Pr 6.119 2.522 0.347
Cl 2.048 -2.046 2.897
Os 2.048 2.451 3.175
Pr -2.023 2.381 6.003
! DOS at the Fermi energy = 5.875 states/eV/cell
! Energy relative to the elements, uncorrected = -799 meV/atom
! Density = 7.07 g/cm3
! SG = C2/m (12)

9.
! Zr2CuW PBE relaxed; values from VASP
&SYSTEM
  ibrav = 0, nat = 4, ntyp = 3
/
ATOMIC_SPECIES
Cu 63.55 Cu.upf
Zr 91.22 Zr.upf
W 183.84 W.upf
CELL_PARAMETERS angstrom
-2.136 0.824 4.068
0.250 -3.140 3.445
2.525 0.919 3.817
ATOMIC_POSITIONS angstrom
Cu 0.320 -0.699 5.665
Zr 0.160 -0.349 2.833
W 0.479 -1.048 8.498
Zr 0.000 0.000 0.000
! DOS at the Fermi energy = 4.416 states/eV/cell
! Density = 9.92 g/cm3
! SG = F-43m (216)
! Energy of formation from the pure elements = 0.320 eV/atom
! Energy above the most stable polymorph in this dataset = 330 meV/atom

10.
! Cd4P2Br3 PBE relaxed; values from VASP
&SYSTEM
  ibrav = 0, nat = 72, ntyp = 3
/
ATOMIC_SPECIES
Br 79.90 Br.upf
Cd 112.41 Cd.upf
P 30.97 P.upf
CELL_PARAMETERS angstrom
12.620 0.000 0.000
0.000 12.620 0.000
0.000 0.000 12.620
ATOMIC_POSITIONS angstrom
Br 8.647 5.498 2.924
Cd 12.176 6.257 3.099
Br 2.337 5.498 3.386
Cd 3.211 5.866 6.257
Br 10.284 11.808 2.924
Br 11.808 2.924 10.284
Cd 6.755 6.363 9.409
Cd 0.445 6.363 9.521
Br 0.812 9.234 8.647
Cd 0.445 12.568 3.211
Br 9.696 3.974 7.123
Br 3.386 2.337 5.498
P 1.380 4.930 7.690
Br 2.924 8.647 5.498
Cd 6.257 3.099 12.176
P 4.930 11.240 7.690
Br 3.974 7.123 9.696
Cd 6.755 12.568 3.099
Cd 12.176 0.053 9.409
Cd 6.363 9.521 0.445
Br 11.808 3.386 3.974
Cd 12.568 3.211 0.445
Br 9.696 2.337 0.812
Br 9.234 10.284 7.123
Br 8.647 0.812 9.234
Cd 3.099 12.176 6.257
Br 5.498 2.924 8.647
Cd 9.409 12.176 0.053
P 11.240 11.240 11.240
P 5.676 5.676 5.676
Cd 0.053 9.409 12.176
P 11.240 7.690 4.930
Cd 3.486 9.796 9.135
P 11.986 0.634 6.944
P 6.944 6.944 6.944
Cd 2.824 3.486 9.135
Br 5.498 3.386 2.337
Cd 6.363 9.409 6.755
Br 3.386 3.974 11.808
Cd 9.796 9.135 3.486
Br 7.123 9.234 10.284
Cd 6.257 3.211 5.866
Cd 9.135 2.824 3.486
P 11.986 5.676 0.634
Br 0.812 9.696 2.337
Br 3.974 11.808 3.386
Br 2.337 0.812 9.696
P 4.930 7.690 1.380
Br 2.924 10.284 11.808
P 0.634 6.944 11.986
Cd 5.866 6.257 3.211
Br 7.123 9.696 3.974
P 5.676 0.634 11.986
Cd 3.099 6.755 12.568
P 7.690 1.380 4.930
Br 9.234 8.647 0.812
Cd 3.211 0.445 12.568
Cd 5.866 0.053 9.521
P 1.380 1.380 1.380
Cd 9.796 9.796 9.796
Cd 9.409 6.755 6.363
Cd 3.486 9.135 2.824
Cd 9.135 3.486 9.796
Cd 9.521 5.866 0.053
Cd 9.521 0.445 6.363
P 6.944 11.986 0.634
Br 10.284 7.123 9.234
P 7.690 4.930 11.240
Cd 12.568 3.099 6.755
Cd 0.053 9.521 5.866
Cd 2.824 2.824 2.824
P 0.634 11.986 5.676
! Energy relative to the elements, uncorrected = -491 meV/atom
! Density = 4.97 g/cm3
! SG = Pa-3 (205)

11.
! Ba2AlGePt6 PBE relaxed; values from VASP
&SYSTEM
  ibrav = 0, nat = 10, ntyp = 4
/
ATOMIC_SPECIES
Ba 137.33 Ba.upf
Pt 195.08 Pt.upf
Ge 72.64 Ge.upf
Al 26.98 Al.upf
CELL_PARAMETERS angstrom
-6.081 2.050 2.514
-3.250 -5.836 -1.935
-1.952 -3.146 4.344
ATOMIC_POSITIONS angstrom
Ba -5.364 -5.503 1.109
Pt -4.215 -4.331 4.315
Ge -4.666 -1.893 0.290
Ba -5.920 -1.430 3.814
Pt -8.029 -4.149 2.743
Pt -7.069 -2.602 0.608
Al 0.000 0.000 0.000
Pt -8.246 -3.132 5.288
Pt -3.038 -3.801 -0.366
Pt -3.255 -2.784 2.180
! DOS at the Fermi energy = 4.052 states/eV/cell
! Density = 11.40 g/cm3
! SG = P-1 (2)
! Energy of formation from the pure elements = -0.724 eV/atom

12.
! Y2Ho5Tm3 PBE relaxed; values from VASP
&SYSTEM
  ibrav = 0, nat = 20, ntyp = 3
/
ATOMIC_SPECIES
Tm 168.93 Tm.upf
Ho 164.93 Ho.upf
Y 88.91 Y.upf
CELL_PARAMETERS angstrom
-0.532 -6.075 -2.607
8.762 -1.733 -6.185
8.053 -6.064 4.051
ATOMIC_POSITIONS angstrom
Tm 5.293 -5.725 -4.611
Tm 5.260 -4.514 1.010
Ho 5.542 -3.187 -2.141
Y 7.477 -8.041 0.340
Ho 5.138 -7.065 -1.457
Tm -0.133 -1.519 -0.652
Y 8.120 -2.699 -3.804
Ho 11.146 -6.807 -3.284
Tm -0.399 -4.556 -1.955
Ho 3.030 -1.833 -0.566
Ho 8.009 -8.455 -3.022
Ho 13.520 -9.002 -2.872
Y 8.807 -5.831 -5.081
Y 8.164 -11.173 -0.937
Ho 2.764 -4.870 -1.869
Tm 10.991 -8.147 -0.130
Ho 13.254 -12.039 -4.176
Ho 8.275 -5.417 -1.719
Ho 10.742 -10.685 -2.600
Tm 11.024 -9.358 -5.751
! DOS at the Fermi energy = 31.785 states/eV/cell
! Density = 7.78 g/cm3
! SG = Ibam (72)
! Energy of formation from the pure elements = 0.283 eV/atom
! Energy above the most stable polymorph in this dataset = 77 meV/atom

13.
! Ac4AlPb2 PBE relaxed; values from VASP
&SYSTEM
  ibrav = 0, nat = 7, ntyp = 3
/
ATOMIC_SPECIES
Ac 227.00 Ac.upf
Pb 207.20 Pb.upf
Al 26.98 Al.upf
CELL_PARAMETERS angstrom
5.774 0.000 0.000
0.000 5.774 0.000
-2.887 -2.887 8.968
ATOMIC_POSITIONS angstrom
Ac 2.887 0.000 0.000
Pb 0.000 0.000 6.641
Ac 2.887 2.887 5.711
Ac 0.000 0.000 3.258
Ac 0.000 2.887 0.000
Al 0.000 0.000 0.000
Pb 2.887 2.887 2.327
! DOS at the Fermi energy = 7.254 states/eV/cell
! Density = 7.49 g/cm3
! SG = I4/mmm (139)
! Energy of formation from the pure elements = -0.081 eV/atom
! Energy above the most stable polymorph in this dataset = 151 meV/atom

14.
! TaIrSe2N PBE relaxed; values from VASP
&SYSTEM
  ibrav = 0, nat = 5, ntyp = 4
/
ATOMIC_SPECIES
N 14.01 N.upf
Ir 192.22 Ir.upf
Se 78.96 Se.upf
Ta 180.95 Ta.upf
CELL_PARAMETERS angstrom
5.099 0.000 0.000
0.000 5.099 0.000
0.000 0.000 3.783
ATOMIC_POSITIONS angstrom
N 0.000 0.000 1.892
Ir 2.549 2.549 1.892
Se 0.000 2.549 0.000
Ta 0.000 0.000 0.000
Se 2.549 0.000 0.000
! DOS at the Fermi energy = 4.649 states/eV/cell
! Energy relative to the elements, uncorrected = 710 meV/atom
! Density = 9.20 g/cm3
! SG = P4/mmm (123)
! Energy above the most stable polymorph in this dataset = 6 meV/atom

15.
! SmErTlRh PBE relaxed; values from VASP
&SYSTEM
  ibrav = 0, nat = 4, ntyp = 4
/
ATOMIC_SPECIES
Rh 102.91 Rh.upf
Er 167.26 Er.upf
Sm 150.36 Sm.upf
Tl 204.38 Tl.upf
CELL_PARAMETERS angstrom
3.519 0.000 0.000
0.000 3.519 0.000
0.000 0.000 7.824
ATOMIC_POSITIONS angstrom
Rh 0.000 0.000 4.356
Er 1.760 1.760 2.820
Sm 1.760 1.760 6.147
Tl 0.000 0.000 0.641
! DOS at the Fermi energy = 3.271 states/eV/cell
! Density = 10.71 g/cm3
! SG = P4mm (99)
! Energy of formation from the pure elements = -0.593 eV/atom
! Energy above the most stable polymorph in this dataset = 0 meV/atom

16.
! KLi3Bi PBE relaxed; values from VASP
&SYSTEM
  ibrav = 0, nat = 5, ntyp = 3
/
ATOMIC_SPECIES
K 39.10 K.upf
Li 6.94 Li.upf
Bi 208.98 Bi.upf
CELL_PARAMETERS angstrom
-1.072 3.431 4.123
-4.195 -3.156 1.536
3.342 -2.861 3.250
ATOMIC_POSITIONS angstrom
K -0.962 -1.293 4.454
Li -2.097 -1.578 0.768
Li -0.536 1.716 2.061
Bi 0.000 0.000 0.000
Li 1.671 -1.430 1.625
! DOS at the Fermi energy = 2.362 states/eV/cell
! Density = 2.73 g/cm3
! SG = Pm-3m (221)
! Energy of formation from the pure elements = -0.247 eV/atom
! Energy above the most stable polymorph in this dataset = 0 meV/atom

17.
! Ir2SeCl PBE relaxed; values from VASP
&SYSTEM
  ibrav = 0, nat = 4, ntyp = 3
/
ATOMIC_SPECIES
Cl 35.45 Cl.upf
Ir 192.22 Ir.upf
Se 78.96 Se.upf
CELL_PARAMETERS angstrom
4.272 0.000 0.000
0.000 2.899 0.003
0.000 -1.059 5.347
ATOMIC_POSITIONS angstrom
Cl 2.136 1.380 4.012
Ir 0.000 0.642 2.746
Se 2.136 0.460 1.337
Ir 0.000 -0.782 5.276
! DOS at the Fermi energy = 3.690 states/eV/cell
! Energy relative to the elements, uncorrected = 698 meV/atom
! Density = 12.51 g/cm3
! SG = P2/m (10)
! Energy above the most stable polymorph in this dataset = 665 meV/atom

18.
! NaSr3Au2 PBE relaxed; values from VASP
&SYSTEM
  ibrav = 0, nat = 12, ntyp = 3
/
ATOMIC_SPECIES
Au 196.97 Au.upf
Sr 87.62 Sr.upf
Na 22.99 Na.upf
CELL_PARAMETERS angstrom
-3.069 -2.890 -6.851
4.995 -6.407 -4.258
-0.806 -9.122 -0.513
ATOMIC_POSITIONS angstrom
Au 0.691 -6.883 -6.851
Sr 1.828 -13.475 -6.941
Sr 1.327 -8.487 -4.098
Sr 0.293 -14.920 -10.366
Au 0.429 -11.536 -4.771
Na 0.000 0.000 0.000
Au -0.087 -6.520 -1.933
Sr -0.207 -9.932 -7.524
Sr 0.827 -3.499 -1.256
Na -1.535 -1.445 -3.426
Sr -0.707 -4.944 -4.682
Au 1.207 -11.899 -9.689
! DOS at the Fermi energy = 6.213 states/eV/cell
! Density = 5.14 g/cm3
! SG = Ibam (72)
! Energy of formation from the pure elements = -0.511 eV/atom

19.
! DyPaTlC PBE relaxed; values from VASP
&SYSTEM
  ibrav = 0, nat = 4, ntyp = 4
/
ATOMIC_SPECIES
Pa 231.04 Pa.upf
Tl 204.38 Tl.upf
C 12.01 C.upf
Dy 162.50 Dy.upf
CELL_PARAMETERS angstrom
3.525 0.000 0.000
-1.762 3.053 0.000
-1.762 -1.017 8.300
ATOMIC_POSITIONS angstrom
Pa -1.429 2.830 0.255
Tl 2.095 0.795 3.079
C -1.429 0.794 7.234
Dy 0.334 -0.223 5.781
! DOS at the Fermi energy = 4.067 states/eV/cell
! Density = 11.34 g/cm3
! SG = R3m (160)
! Energy of formation from the pure elements = -0.309 eV/atom

Summary of total magnetization in μB per atom
0.123; 0.000; 0.001; 0.058; 0.000; 0.000; 0.000; 0.000; 0.000; 0.000; 0.000; 0.000; 0.000; 0.000; 0.000; 0.000; 0.000; 0.000; 0.000
(order as listed above)